{
  "formula": "Sr2MnVO6",
  "functional": "PBE+U",
  "state": "relaxed",
  "dft_energy_ev_per_atom": -6.99,
  "magmom_total_mub_per_fu": 2.00,
  "lattice_angstrom": [[4.832, 0.000, 0.000], [0.000, 5.585, 0.000], [0.000, -2.793, 4.837]],
  "species": ["O", "O", "O", "O", "O", "O", "V", "Sr", "Sr", "Mn"],
  "frac_coords": [[0.253, 0.315, 0.157], [0.747, 0.157, 0.315], [0.253, 0.843, 0.685], [0.747, 0.685, 0.843], [0.253, 0.843, 0.157], [0.747, 0.157, 0.843], [0.000, 0.000, 0.000], [0.718, 0.667, 0.333], [0.282, 0.333, 0.667], [0.500, 0.000, 0.000]]
}